A geometry-optimized EuYTlPt structure, computed with PBE-GGA. Values from VASP.

Geometry as Quantum ESPRESSO input:
```
&SYSTEM
  ibrav = 0, nat = 4, ntyp = 4
/
ATOMIC_SPECIES
Eu 151.96 Eu.upf
Y 88.91 Y.upf
Tl 204.38 Tl.upf
Pt 195.08 Pt.upf
CELL_PARAMETERS angstrom
-1.053 3.884 -3.349
0.747 -0.697 -5.135
-4.113 -0.362 -3.218
ATOMIC_POSITIONS crystal
Eu 0.250 0.250 0.250
Y 0.750 0.750 0.750
Tl 0.000 0.000 0.000
Pt 0.500 0.500 0.500
```

Values from the calculation:
Calculated total energy   -6.899 eV/atom
Total magnetization   7.0 μB per formula unit
Symmetry   F-43m
DOS at the Fermi energy   1.908 states/eV per atom
ΔE_f   -0.613 eV/atom



A geometry-optimized UPbSe2 structure, computed with PBE-GGA. Values from VASP.

Geometry as Quantum ESPRESSO input:
```
&SYSTEM
  ibrav = 0, nat = 4, ntyp = 3
/
ATOMIC_SPECIES
Pb 207.20 Pb.upf
U 238.03 U.upf
Se 78.96 Se.upf
CELL_PARAMETERS angstrom
-0.785 0.223 -3.440
2.278 -2.615 -0.689
-5.820 -5.329 0.983
ATOMIC_POSITIONS crystal
Pb 0.500 0.500 0.500
U 0.500 0.500 0.000
Se 0.000 0.000 0.794
Se 0.000 0.000 0.206
```

Values from the calculation:
Uncorrected formation energy   -0.689 eV/atom
Calculated total energy   -6.180 eV/atom
Total magnetization   3.0 μB per formula unit
Symmetry   P4/mmm
DOS at the Fermi energy   1.564 states/eV per atom



A geometry-optimized AcTlCd2 structure, computed with PBE-GGA. Values from VASP.

Geometry as Quantum ESPRESSO input:
```
&SYSTEM
  ibrav = 0, nat = 4, ntyp = 3
/
ATOMIC_SPECIES
Ac 227.00 Ac.upf
Tl 204.38 Tl.upf
Cd 112.41 Cd.upf
CELL_PARAMETERS angstrom
-3.197 3.884 -0.891
-1.351 -2.069 -4.173
-3.533 -2.376 2.322
ATOMIC_POSITIONS crystal
Ac 0.500 0.500 0.500
Tl 0.500 0.000 0.000
Cd 0.000 0.000 0.500
Cd 0.000 0.500 0.000
```

Values from the calculation:
Calculated total energy   -2.297 eV/atom
Total magnetization   0.0 μB per formula unit
Symmetry   P4/mmm
DOS at the Fermi energy   0.763 states/eV per atom
ΔE_f   -0.220 eV/atom



Which of these has the highest calculated total energy?
AcTlCd2



What is the formula in the second record?
UPbSe2



DOS at the Fermi energy of number 2 (UPbSe2)?
1.564 states/eV per atom